1.
A plane-wave DFT calculation with GGA-PBE was carried out for an optimized crystal structure of Bi2HOsS.

Summary:
VASP energy = -0.1626 Ha/atom
Symmetry = P4/mmm, No. 123
DOS(E_F) = 3.1 states/eV/f.u.

The structure in POSCAR format:
```
Bi2HOsS
1.0
5.6446 0.0000 0.0000
0.0000 5.6446 0.0000
0.0000 0.0000 4.2540
Bi H Os S
2 1 1 1
direct
0.0000 0.5000 0.0000
0.5000 0.0000 0.0000
0.0000 0.0000 0.5000
0.5000 0.5000 0.0000
0.5000 0.5000 0.5000
```

2.
A plane-wave DFT calculation with GGA-PBE was carried out for an optimized crystal structure of CaDyHgAu.

Summary:
VASP energy = -0.1176 Ha/atom
Symmetry = F-43m, No. 216
ΔH_f (0 K) = -654 meV/atom
DOS(E_F) = 2.4 states/eV/f.u.

The structure in POSCAR format:
```
CaDyHgAu
1.0
7.3363 0.0000 0.0000
0.0000 7.3363 0.0000
0.0000 0.0000 7.3363
Ca Dy Hg Au
4 4 4 4
direct
0.0000 0.0000 0.0000
0.0000 0.5000 0.5000
0.5000 0.0000 0.5000
0.5000 0.5000 0.0000
0.0000 0.0000 0.5000
0.0000 0.5000 0.0000
0.5000 0.0000 0.0000
0.5000 0.5000 0.5000
0.2500 0.2500 0.7500
0.2500 0.7500 0.2500
0.7500 0.2500 0.2500
0.7500 0.7500 0.7500
0.2500 0.2500 0.2500
0.2500 0.7500 0.7500
0.7500 0.2500 0.7500
0.7500 0.7500 0.2500
```

3.
A plane-wave DFT calculation with GGA-PBE was carried out for an optimized crystal structure of CaTaMo2.

Summary:
VASP energy = -0.3097 Ha/atom
Symmetry = P4mm, No. 99
ΔH_f (0 K) = 452 meV/atom
DOS(E_F) = 5.5 states/eV/f.u.

The structure in POSCAR format:
```
CaTaMo2
1.0
3.2135 0.0000 0.0000
0.0000 3.2135 0.0000
0.0000 0.0000 7.8473
Ca Ta Mo
1 1 2
direct
0.0000 0.0000 0.0000
0.5000 0.5000 0.6733
0.0000 0.0000 0.4717
0.5000 0.5000 0.2937
```

4.
A plane-wave DFT calculation with GGA-PBE was carried out for an optimized crystal structure of KLaCo.

Summary:
VASP energy = -0.1105 Ha/atom
Symmetry = F-43m, No. 216
ΔH_f (0 K) = 1369 meV/atom
DOS(E_F) = 7.9 states/eV/f.u.

The structure in POSCAR format:
```
KLaCo
1.0
7.0116 0.0000 0.0000
0.0000 7.0116 0.0000
0.0000 0.0000 7.0116
K La Co
4 4 4
direct
0.0000 0.0000 0.0000
0.0000 0.5000 0.5000
0.5000 0.0000 0.5000
0.5000 0.5000 0.0000
0.2500 0.2500 0.2500
0.2500 0.7500 0.7500
0.7500 0.2500 0.7500
0.7500 0.7500 0.2500
0.2500 0.2500 0.7500
0.2500 0.7500 0.2500
0.7500 0.2500 0.2500
0.7500 0.7500 0.7500
```

5.
A plane-wave DFT calculation with GGA-PBE was carried out for an optimized crystal structure of La2Pm4DyEr2.

Summary:
VASP energy = -0.1737 Ha/atom
Symmetry = C2/m, No. 12
ΔH_f (0 K) = 5 meV/atom
DOS(E_F) = 12.6 states/eV/f.u.

The structure in POSCAR format:
```
La2Pm4DyEr2
1.0
9.4868 -1.8341 0.0000
9.4868 1.8341 0.0000
-4.2200 0.0000 8.7515
La Pm Dy Er
2 4 1 2
direct
0.1655 0.1655 0.4974
0.8345 0.8345 0.5026
0.0189 0.0189 0.8363
0.3138 0.3138 0.1653
0.6862 0.6862 0.8347
0.9811 0.9811 0.1637
0.5000 0.5000 0.5000
0.3525 0.3525 0.8353
0.6475 0.6475 0.1647
```

6.
A plane-wave DFT calculation with GGA-PBE was carried out for an optimized crystal structure of Sb2Pd5Se2.

Summary:
VASP energy = -0.1797 Ha/atom
Symmetry = C2/m, No. 12
DOS(E_F) = 4.6 states/eV/f.u.
Formation energy from raw total energies = -314 meV per atom

The structure in POSCAR format:
```
Sb2Pd5Se2
1.0
6.4802 -2.0299 0.0000
6.4802 2.0299 0.0000
-4.7419 0.0000 7.0053
Sb Pd Se
2 5 2
direct
0.1518 0.1518 0.0250
0.8482 0.8482 0.9750
0.0949 0.0949 0.2948
0.4057 0.4057 0.2339
0.5000 0.5000 0.0000
0.5943 0.5943 0.7661
0.9051 0.9051 0.7052
0.3583 0.3583 0.4895
0.6417 0.6417 0.5105
```

7.
A plane-wave DFT calculation with GGA-PBE was carried out for an optimized crystal structure of ReNi3Pt.

Summary:
VASP energy = -0.2640 Ha/atom
Symmetry = P2_1/c, No. 14
ΔH_f (0 K) = -18 meV/atom
DOS(E_F) = 6.3 states/eV/f.u.

The structure in POSCAR format:
```
ReNi3Pt
1.0
6.3818 0.0000 0.0000
0.0000 5.3657 0.0000
-4.3415 0.0000 7.4183
Re Ni Pt
4 12 4
direct
0.2037 0.1199 0.0549
0.2037 0.3801 0.5549
0.7963 0.6199 0.4451
0.7963 0.8801 0.9451
0.0055 0.1301 0.2517
0.0055 0.3699 0.7517
0.3948 0.1247 0.8532
0.3948 0.3753 0.3532
0.3990 0.6227 0.8465
0.3990 0.8773 0.3465
0.6010 0.1227 0.6535
0.6010 0.3773 0.1535
0.6052 0.6247 0.6468
0.6052 0.8753 0.1468
0.9945 0.6301 0.2483
0.9945 0.8699 0.7483
0.2077 0.6249 0.0506
0.2077 0.8751 0.5506
0.7923 0.1249 0.4494
0.7923 0.3751 0.9494
```

8.
A plane-wave DFT calculation with GGA-PBE was carried out for an optimized crystal structure of AgSOF2.

Summary:
VASP energy = -0.1106 Ha/atom
Symmetry = P4/mmm, No. 123
DOS(E_F) = 3.2 states/eV/f.u.
Formation energy from raw total energies = 126 meV per atom

The structure in POSCAR format:
```
AgSOF2
1.0
4.3393 0.0000 0.0000
0.0000 4.3393 0.0000
0.0000 0.0000 4.1094
Ag S O F
1 1 1 2
direct
0.0000 0.0000 0.0000
0.5000 0.5000 0.5000
0.0000 0.0000 0.5000
0.0000 0.5000 0.0000
0.5000 0.0000 0.0000
```

9.
A plane-wave DFT calculation with GGA-PBE was carried out for an optimized crystal structure of DyCoNiB2.

Summary:
VASP energy = -0.2452 Ha/atom
Symmetry = I-4m2, No. 119
ΔH_f (0 K) = -504 meV/atom
DOS(E_F) = 2.8 states/eV/f.u.

The structure in POSCAR format:
```
DyCoNiB2
1.0
3.5049 0.0000 0.0000
0.0000 3.5049 0.0000
0.0000 0.0000 9.5668
Dy Co Ni B
2 2 2 4
direct
0.0000 0.0000 0.0000
0.5000 0.5000 0.5000
0.0000 0.5000 0.7500
0.5000 0.0000 0.2500
0.0000 0.5000 0.2500
0.5000 0.0000 0.7500
0.0000 0.0000 0.3595
0.0000 0.0000 0.6405
0.5000 0.5000 0.1405
0.5000 0.5000 0.8595
```

10.
A plane-wave DFT calculation with GGA-PBE was carried out for an optimized crystal structure of BeAlSb2.

Summary:
VASP energy = -0.1263 Ha/atom
Symmetry = Cmmm, No. 65
DOS(E_F) = 1.8 states/eV/f.u.
Formation energy from raw total energies = 491 meV per atom

The structure in POSCAR format:
```
BeAlSb2
1.0
6.3407 0.0000 0.0000
0.0000 7.1676 0.0000
0.0000 0.0000 3.6341
Be Al Sb
2 2 4
direct
0.0000 0.0000 0.0000
0.5000 0.5000 0.0000
0.0000 0.5000 0.0000
0.5000 0.0000 0.0000
0.2500 0.2500 0.5000
0.2500 0.7500 0.5000
0.7500 0.2500 0.5000
0.7500 0.7500 0.5000
```